Density functional theory data (GGA-PBE) for HfZr4In after structural relaxation.

ΔE to the lowest computed polymorph	416.7	meV/atom
E_form	518	meV/atom

Lattice parameters (Å, degrees): 4.791 4.791 6.866 90.00 90.00 90.00
Space group P4/mmm (No. 123)
Inequivalent atoms, fractional coordinates:
Hf: 0.000 0.000 0.000
Zr: 0.000 0.500 0.234
In: 0.500 0.500 0.500



Density functional theory data (GGA-PBE) for BaScCo2 after structural relaxation.

ΔE to the lowest computed polymorph	226.7	meV/atom
E_form	309	meV/atom

Lattice parameters (Å, degrees): 3.299 3.299 8.103 90.00 90.00 90.00
Space group P4mm (No. 99)
Inequivalent atoms, fractional coordinates:
Ba: 0.000 0.000 0.000
Sc: 0.500 0.500 0.589
Co: 0.000 0.000 0.403
Co: 0.500 0.500 0.298



Density functional theory data (GGA-PBE) for Pm4Si2Pb after structural relaxation.

energy relative to the elements, uncorrected	-0.47	eV/atom

Lattice parameters (Å, degrees): 4.8030 4.8030 31.2772 90.00 90.00 120.00
Space group R-3m (No. 166, hexagonal axes)
Inequivalent atoms, fractional coordinates:
Pm: 0.0000 0.0000 0.1138
Pm: 0.0000 0.0000 0.2988
Si: 0.0000 0.0000 0.4013
Pb: 0.0000 0.0000 0.5000



Density functional theory data (GGA-PBE) for SrHf2MoCl after structural relaxation.

energy relative to the elements, uncorrected	2.23	eV/atom

Lattice parameters (Å, degrees): 5.423 5.423 4.870 90.00 90.00 90.00
Space group P4/mmm (No. 123)
Inequivalent atoms, fractional coordinates:
Sr: 0.000 0.000 0.000
Hf: 0.000 0.500 0.000
Mo: 0.500 0.500 0.500
Cl: 0.000 0.000 0.500



Density functional theory data (GGA-PBE) for V2PdPt3 after structural relaxation.

ΔE to the lowest computed polymorph	0.0	meV/atom
E_form	-433	meV/atom

Lattice parameters (Å, degrees): 3.904 11.587 3.903 90.00 90.00 90.00
Space group Cmmm (No. 65)
Inequivalent atoms, fractional coordinates:
V: 0.000 0.173 0.000
Pd: 0.000 0.500 0.000
Pt: 0.000 0.000 0.500
Pt: 0.000 0.330 0.500



Density functional theory data (GGA-PBE) for Li2PPb after structural relaxation.

ΔE to the lowest computed polymorph	88.9	meV/atom
E_form	-235	meV/atom

Lattice parameters (Å, degrees): 8.051 3.091 6.265 90.00 99.00 90.00
Space group C2/m (No. 12)
Inequivalent atoms, fractional coordinates:
Li: 0.235 0.000 0.174
P: 0.000 0.500 0.000
Pb: 0.000 0.000 0.500



Density functional theory data (GGA-PBE) for PrTh2Sb3 after structural relaxation.

ΔE to the lowest computed polymorph	0.0	meV/atom
energy relative to the elements, uncorrected	-1.01	eV/atom

Lattice parameters (Å, degrees): 4.513 6.389 13.599 90.00 90.00 90.00
Space group Immm (No. 71)
Inequivalent atoms, fractional coordinates:
Pr: 0.000 0.000 0.000
Th: 0.000 0.000 0.335
Sb: 0.000 0.500 0.000
Sb: 0.000 0.500 0.331



Density functional theory data (GGA-PBE) for LiEr2Co after structural relaxation.

ΔE to the lowest computed polymorph	183.6	meV/atom
E_form	78	meV/atom

Lattice parameters (Å, degrees): 3.6817 3.6817 29.0680 90.00 90.00 120.00
Space group R-3m (No. 166, hexagonal axes)
Inequivalent atoms, fractional coordinates:
Li: 0.0000 0.0000 0.0000
Er: 0.0000 0.0000 0.1151
Co: 0.0000 0.0000 0.5000



Density functional theory data (GGA-PBE) for La3MnOs after structural relaxation.

ΔE to the lowest computed polymorph	0.0	meV/atom
E_form	269	meV/atom

Lattice parameters (Å, degrees): 5.590 5.590 5.590 90.00 90.00 90.00
Space group Pm-3m (No. 221)
Inequivalent atoms, fractional coordinates:
La: 0.000 0.000 0.500
Mn: 0.500 0.500 0.500
Os: 0.000 0.000 0.000



Density functional theory data (GGA-PBE) for DyLuSiAg after structural relaxation.

energy relative to the elements, uncorrected	-0.43	eV/atom

Lattice parameters (Å, degrees): 7.063 7.063 7.063 90.00 90.00 90.00
Space group F-43m (No. 216)
Inequivalent atoms, fractional coordinates:
Dy: 0.000 0.000 0.000
Lu: 0.000 0.000 0.500
Si: 0.250 0.250 0.250
Ag: 0.250 0.250 0.750



Density functional theory data (GGA-PBE) for Er4MgAu5 after structural relaxation.

E_form	-825	meV/atom

Lattice parameters (Å, degrees): 3.510 3.510 17.756 90.00 90.00 90.00
Space group P4/mmm (No. 123)
Inequivalent atoms, fractional coordinates:
Er: 0.000 0.000 0.103
Er: 0.000 0.000 0.309
Mg: 0.000 0.000 0.500
Au: 0.500 0.500 0.000
Au: 0.500 0.500 0.205
Au: 0.500 0.500 0.408



Density functional theory data (GGA-PBE) for TeAs after structural relaxation.

energy relative to the elements, uncorrected	0.28	eV/atom

Lattice parameters (Å, degrees): 8.690 8.690 3.783 90.00 90.00 90.00
Space group P4_2/mnm (No. 136)
Inequivalent atoms, fractional coordinates:
Te: 0.223 0.223 0.000
As: 0.118 0.882 0.000



Number 1: size of the total moment 0.0 μB/cell. Number 2: size of the total moment 2.4 μB/cell. Number 3: size of the total moment 0.0 μB/cell. Number 4: size of the total moment 0.0 μB/cell. Number 5: size of the total moment 2.0 μB/cell. Number 6: size of the total moment 0.0 μB/cell. Number 7: size of the total moment 0.0 μB/cell. Number 8: size of the total moment 0.0 μB/cell. Number 9: size of the total moment 4.4 μB/cell. Number 10: size of the total moment 0.0 μB/cell. Number 11: size of the total moment 0.0 μB/cell. Number 12: size of the total moment 0.0 μB/cell.